This record from the Alexandria database describes a geometry-optimized TaTl2AgPd structure. The functional is PBE-GGA.

Cell lengths 5.1480, 5.1480, 5.1655 Å; angles 90.00, 90.00, 90.00 degrees
With the nearest neighbours (Å) after each atom.
Space group P4/mmm (No. 123)
Inequivalent atoms, fractional coordinates:
Ta (0.0000, 0.0000, 0.0000) (multiplicity 1)  2 Ag 2.58
Tl (0.0000, 0.5000, 0.5000) (multiplicity 2)  2 Ag 2.57
Ag (0.0000, 0.0000, 0.5000) (multiplicity 1)  4 Tl 2.57, 2 Ta 2.58
Pd (0.5000, 0.5000, 0.0000) (multiplicity 1)  4 Ta 3.64, 8 Tl 3.65

Results
crystal system = tetragonal
calculated volume = 136.9 Å³ per cell
theoretical density = 9.8 g cm⁻³
energy of formation from the pure elements = 32.1 kcal/mol of atoms
D(E_F) = 1.276 states/eV/atom
uncorrected energy = -17.7 eV per cell

This record from the Alexandria database describes a geometry-optimized Pd2CF structure. The functional is PBE-GGA.

Cell lengths 5.4716, 5.4716, 7.6298 Å; angles 90.00, 90.00, 90.00 degrees
With the nearest neighbours (Å) after each atom.
Space group I-42d (No. 122)
Inequivalent atoms, fractional coordinates:
Pd (0.1846, 0.2500, 0.1250) (multiplicity 8)  2 C 1.95
C (0.0000, 0.0000, 0.0000) (multiplicity 4)  4 Pd 1.95
F (0.0000, 0.0000, 0.5000) (multiplicity 4)  4 Pd 2.40

Results
crystal system = tetragonal
offset from the most stable computed form = 0 meV per atom
calculated volume = 228.4 Å³ per cell
theoretical density = 7.1 g cm⁻³
formation energy from raw total energies = 43 meV per atom
D(E_F) = 0.757 states/eV/atom
uncorrected energy = -85.2 eV per cell

This record from the Alexandria database describes a geometry-optimized Y2NiW structure. The functional is PBE-GGA.

Cell lengths 6.8066, 6.8066, 6.8066 Å; angles 90.00, 90.00, 90.00 degrees
With the nearest neighbours (Å) after each atom.
Space group F-43m (No. 216)
Inequivalent atoms, fractional coordinates:
Y (0.0000, 0.0000, 0.0000) (multiplicity 4)  4 Ni 2.95, 4 Y 2.95
Y (0.2500, 0.2500, 0.2500) (multiplicity 4)  4 W 2.95, 4 Y 2.95
Ni (0.2500, 0.2500, 0.7500) (multiplicity 4)  4 W 2.95, 4 Y 2.95
W (0.0000, 0.0000, 0.5000) (multiplicity 4)  4 Y 2.95, 4 Ni 2.95

Results
crystal system = cubic
offset from the most stable computed form = 465 meV per atom
calculated volume = 315.3 Å³ per cell
theoretical density = 8.9 g cm⁻³
energy of formation from the pure elements = 13.8 kcal/mol of atoms
D(E_F) = 1.648 states/eV/atom
uncorrected energy = -117.1 eV per cell

This record from the Alexandria database describes a geometry-optimized HfTi2MnCl structure. The functional is PBE-GGA.

Cell lengths 4.4231, 4.4231, 4.7492 Å; angles 90.00, 90.00, 90.00 degrees
With the nearest neighbours (Å) after each atom.
Space group P4/mmm (No. 123)
Inequivalent atoms, fractional coordinates:
Hf (0.0000, 0.0000, 0.0000) (multiplicity 1)  2 Cl 2.37
Ti (0.0000, 0.5000, 0.5000) (multiplicity 2)  2 Cl 2.21
Mn (0.5000, 0.5000, 0.0000) (multiplicity 1)  4 Hf 3.13, 8 Ti 3.24
Cl (0.0000, 0.0000, 0.5000) (multiplicity 1)  4 Ti 2.21, 2 Hf 2.37

Results
crystal system = tetragonal
calculated volume = 92.9 Å³ per cell
theoretical density = 6.5 g cm⁻³
formation energy from raw total energies = 204 meV per atom
D(E_F) = 1.306 states/eV/atom
uncorrected energy = -35.7 eV per cell

This record from the Alexandria database describes a geometry-optimized Zr2ZnBr structure. The functional is PBE-GGA.

Cell lengths 3.2378, 3.2958, 8.1065 Å; angles 90.00, 90.00, 90.00 degrees
With the nearest neighbours (Å) after each atom.
Space group Pmmm (No. 47)
Inequivalent atoms, fractional coordinates:
Zr (0.0000, 0.0000, 0.2104) (multiplicity 2)  2 Br 2.85, 4 Zn 2.87
Zn (0.5000, 0.5000, 0.0000) (multiplicity 1)  8 Zr 2.87
Br (0.5000, 0.0000, 0.5000) (multiplicity 1)  4 Zr 2.85

Results
crystal system = orthorhombic
offset from the most stable computed form = 0 meV per atom
calculated volume = 86.5 Å³ per cell
theoretical density = 6.3 g cm⁻³
formation energy from raw total energies = -305 meV per atom
D(E_F) = 0.488 states/eV/atom
uncorrected energy = -21.3 eV per cell

This record from the Alexandria database describes a geometry-optimized CaRe2Au structure. The functional is PBE-GGA.

Cell lengths 5.4847, 10.1774, 2.7448 Å; angles 90.00, 112.94, 90.00 degrees
With the nearest neighbours (Å) after each atom.
Space group C2/m (No. 12)
Inequivalent atoms, fractional coordinates:
Ca (0.0000, 0.0000, 0.0000) (multiplicity 2)  4 Au 2.74-3.03, 2 Ca 2.74, 4 Re 2.96
Re (0.2500, 0.2500, 0.5000) (multiplicity 4)  6 Re 2.74-3.03, 2 Ca 2.96, 2 Au 2.96
Au (0.0000, 0.5000, 0.0000) (multiplicity 2)  4 Ca 2.74-3.03, 2 Au 2.74, 4 Re 2.96

Results
crystal system = monoclinic
offset from the most stable computed form = 387 meV per atom
calculated volume = 141.1 Å³ per cell
theoretical density = 14.3 g cm⁻³
energy of formation from the pure elements = 12.6 kcal/mol of atoms
D(E_F) = 0.728 states/eV/atom
uncorrected energy = -56.0 eV per cell

This record from the Alexandria database describes a geometry-optimized HoTlO2 structure. The functional is PBE-GGA.

Cell lengths 3.4921, 3.4921, 20.2145 Å; angles 90.00, 90.00, 120.00 degrees
With the nearest neighbours (Å) after each atom.
Space group R3m (No. 160, hexagonal axes)
Inequivalent atoms, fractional coordinates:
Ho (0.0000, 0.0000, 0.0000) (multiplicity 3)  6 O 2.22-2.40
Tl (0.0000, 0.0000, 0.8205) (multiplicity 3)  3 O 2.71
O (0.0000, 0.0000, 0.3979) (multiplicity 3)  3 Ho 2.40
O (0.0000, 0.0000, 0.6211) (multiplicity 3)  3 Ho 2.22

Results
crystal system = trigonal
offset from the most stable computed form = 11 meV per atom
calculated volume = 213.5 Å³ per cell
theoretical density = 9.4 g cm⁻³
formation energy from raw total energies = -2370 meV per atom
D(E_F) = 0.000 states/eV/atom
uncorrected energy = -79.0 eV per cell

This record from the Alexandria database describes a geometry-optimized Tl2SnP structure. The functional is PBE-GGA.

Cell lengths 7.4793, 7.4793, 7.4793 Å; angles 90.00, 90.00, 90.00 degrees
With the nearest neighbours (Å) after each atom.
Space group Fm-3m (No. 225)
Inequivalent atoms, fractional coordinates:
Tl (0.2500, 0.2500, 0.2500) (multiplicity 8)  4 Sn 3.24, 4 P 3.24
Sn (0.0000, 0.0000, 0.0000) (multiplicity 4)  8 Tl 3.24
P (0.0000, 0.0000, 0.5000) (multiplicity 4)  8 Tl 3.24

Results
crystal system = cubic
offset from the most stable computed form = 80 meV per atom
calculated volume = 418.4 Å³ per cell
theoretical density = 8.9 g cm⁻³
energy of formation from the pure elements = 8.6 kcal/mol of atoms
D(E_F) = 0.856 states/eV/atom
uncorrected energy = -50.6 eV per cell

This record from the Alexandria database describes a geometry-optimized La2CuSe structure. The functional is PBE-GGA.

Cell lengths 4.1762, 4.1762, 22.8871 Å; angles 90.00, 90.00, 120.00 degrees
With the nearest neighbours (Å) after each atom.
Space group R3m (No. 160, hexagonal axes)
Inequivalent atoms, fractional coordinates:
La (0.0000, 0.0000, 0.0000) (multiplicity 3)  3 Cu 3.01, 3 Se 3.13
La (0.0000, 0.0000, 0.1750) (multiplicity 3)  3 Cu 3.02, 3 Se 3.14
Cu (0.0000, 0.0000, 0.5881) (multiplicity 3)  6 La 3.01-3.02
Se (0.0000, 0.0000, 0.4202) (multiplicity 3)  6 La 3.13-3.14

Results
crystal system = trigonal
calculated volume = 345.7 Å³ per cell
theoretical density = 6.1 g cm⁻³
formation energy from raw total energies = -886 meV per atom
D(E_F) = 1.158 states/eV/atom
uncorrected energy = -62.9 eV per cell

This record from the Alexandria database describes a geometry-optimized LiCa2Mn structure. The functional is PBE-GGA.

Cell lengths 3.6917, 3.6917, 8.1594 Å; angles 90.00, 90.00, 90.00 degrees
With the nearest neighbours (Å) after each atom.
Space group P4mm (No. 99)
Inequivalent atoms, fractional coordinates:
Li (0.0000, 0.0000, 0.0000) (multiplicity 1)  4 Mn 2.85, 1 Ca 3.12
Ca (0.0000, 0.0000, 0.3818) (multiplicity 1)  1 Li 3.12, 4 Mn 3.27
Ca (0.5000, 0.5000, 0.7404) (multiplicity 1)  1 Mn 3.27, 4 Li 3.36
Mn (0.5000, 0.5000, 0.1414) (multiplicity 1)  4 Li 2.85

Results
crystal system = tetragonal
calculated volume = 111.2 Å³ per cell
theoretical density = 2.1 g cm⁻³
energy of formation from the pure elements = 6.8 kcal/mol of atoms
D(E_F) = 0.831 states/eV/atom
uncorrected energy = -13.9 eV per cell

This record from the Alexandria database describes a geometry-optimized Sm2ErCu2 structure. The functional is PBE-GGA.

Cell lengths 11.7399, 4.6537, 10.2833 Å; angles 90.00, 120.83, 90.00 degrees
With the nearest neighbours (Å) after each atom.
Space group C2/m (No. 12)
Inequivalent atoms, fractional coordinates:
Sm (0.0366, 0.0000, 0.1915) (multiplicity 4)  6 Cu 3.06-3.32, 1 Er 3.41
Sm (0.1806, 0.0000, 0.5910) (multiplicity 4)  4 Cu 2.87-3.19
Er (0.1948, 0.5000, 0.8533) (multiplicity 4)  4 Cu 2.75-2.97
Cu (0.0494, 0.5000, 0.4126) (multiplicity 4)  1 Cu 2.59, 1 Er 2.77, 2 Sm 2.87
Cu (0.1249, 0.5000, 0.0711) (multiplicity 4)  1 Cu 2.52, 1 Er 2.75

Results
crystal system = monoclinic
offset from the most stable computed form = 16 meV per atom
calculated volume = 482.4 Å³ per cell
theoretical density = 8.2 g cm⁻³
energy of formation from the pure elements = -2.8 kcal/mol of atoms
D(E_F) = 0.827 states/eV/atom
uncorrected energy = -91.2 eV per cell

This record from the Alexandria database describes a geometry-optimized La2Cu3P4Pd structure. The functional is PBE-GGA.

Cell lengths 4.2227, 4.2227, 9.6197 Å; angles 90.00, 90.00, 90.00 degrees
With the nearest neighbours (Å) after each atom.
Space group P-4m2 (No. 115)
Inequivalent atoms, fractional coordinates:
La (0.0000, 0.5000, 0.2476) (multiplicity 2)  8 P 3.18, 7 Cu 3.22-3.51, 2 Pd 3.22
Cu (0.0000, 0.5000, 0.8831) (multiplicity 2)  5 P 2.35-2.39
Cu (0.5000, 0.5000, 0.5000) (multiplicity 1)  4 P 2.50
P (0.0000, 0.0000, 0.0000) (multiplicity 1)  4 Cu 2.39
P (0.0000, 0.5000, 0.6390) (multiplicity 2)  3 Cu 2.35-2.50, 2 Pd 2.50
P (0.5000, 0.5000, 0.0000) (multiplicity 1)  4 Cu 2.39
Pd (0.0000, 0.0000, 0.5000) (multiplicity 1)  4 P 2.50

Results
crystal system = tetragonal
calculated volume = 171.5 Å³ per cell
theoretical density = 6.8 g cm⁻³
energy of formation from the pure elements = -18.2 kcal/mol of atoms
D(E_F) = 0.301 states/eV/atom
uncorrected energy = -56.9 eV per cell